# NaMoF6

NaMoF6 after structural relaxation (PBE with a Hubbard U, the Alexandria database).

The calculation puts the calculated volume at 16.11 A^3/atom. The value obtained for the mass density is 3.00 g/cm3. The value obtained for the total energy is -40.289 eV per formula unit.

The space group is P-1 (No. 2) and the conventional cell measures 5.381, 5.398 and 5.945 Å, with angles of 63.21, 63.82 and 60.64 degrees. The distinct sites, in fractional coordinates, are Na at (0.000, 0.000, 0.000), Mo at (0.500, 0.500, 0.500), F at (0.153, 0.401, 0.719), F at (0.272, 0.852, 0.275) and F at (0.391, 0.724, 0.726).